1.
PrSmPBr2 | PBE | optimized geometry

Cell lengths 4.150, 4.150, 10.815 Å; angles 90.00, 90.00, 120.00 degrees
Atoms (fractional coordinates):
Br 0.333 0.667 0.317
Br 0.000 0.000 0.678
P 0.667 0.333 0.005
Pr 0.333 0.667 0.853
Sm 0.000 0.000 0.147

Computed properties:
The space group is P3m1 (156).


2.
TbPrPBr2 | PBE | optimized geometry

Cell lengths 4.105, 4.105, 10.760 Å; angles 90.00, 90.00, 120.00 degrees
Atoms (fractional coordinates):
Br 0.667 0.333 0.314
Br 0.333 0.667 0.675
P 0.000 0.000 0.009
Pr 0.667 0.333 0.854
Tb 0.333 0.667 0.147

Computed properties:
The space group is P3m1 (156).


3.
PrTmPBr2 | PBE | optimized geometry

Cell lengths 4.064, 4.064, 10.702 Å; angles 90.00, 90.00, 120.00 degrees
Atoms (fractional coordinates):
Br 0.667 0.333 0.311
Br 0.333 0.667 0.674
P 0.000 0.000 0.014
Pr 0.667 0.333 0.855
Tm 0.333 0.667 0.146

Computed properties:
The space group is P3m1 (156).


4.
TbScPBr2 | PBE | optimized geometry

Cell lengths 3.902, 3.902, 10.344 Å; angles 90.00, 90.00, 120.00 degrees
Atoms (fractional coordinates):
Br 0.667 0.333 0.323
Br 0.333 0.667 0.692
P 0.000 0.000 0.988
Sc 0.667 0.333 0.856
Tb 0.333 0.667 0.142

Computed properties:
The space group is P3m1 (156).


5.
Zn2SiP4Br | PBE | optimized geometry

Cell lengths 7.347, 7.347, 7.347 Å; angles 137.21, 137.21, 62.11 degrees
Atoms (fractional coordinates):
Br 0.000 0.000 0.000
P 0.193 0.486 0.008
P 0.815 0.807 0.294
P 0.514 0.522 0.706
P 0.478 0.185 0.992
Si 0.250 0.750 0.500
Zn 0.500 0.500 0.000
Zn 0.750 0.250 0.500

Computed properties:
The space group is I-4 (82).


6.
Zn2SnP4Br | PBE | optimized geometry

Cell lengths 7.608, 7.608, 7.608 Å; angles 136.86, 136.86, 62.65 degrees
Atoms (fractional coordinates):
Br 0.500 0.500 0.000
P 0.993 0.715 0.029
P 0.285 0.314 0.278
P 0.037 0.007 0.722
P 0.686 0.963 0.971
Sn 0.750 0.250 0.500
Zn 0.000 0.000 0.000
Zn 0.250 0.750 0.500

Computed properties:
The space group is I-4 (82).


7.
TbTmPBr2 | PBE | optimized geometry

Cell lengths 3.982, 3.982, 10.512 Å; angles 90.00, 90.00, 120.00 degrees
Atoms (fractional coordinates):
Br 0.667 0.333 0.319
Br 0.333 0.667 0.686
P 0.000 0.000 0.996
Tb 0.333 0.667 0.143
Tm 0.667 0.333 0.856

Computed properties:
The space group is P3m1 (156).


8.
TbUPBr2 | PBE | optimized geometry

Cell lengths 3.938, 3.938, 10.821 Å; angles 90.00, 90.00, 120.00 degrees
Site moments in Bohr magnetons follow the coordinates.
Atoms (fractional coordinates):
Br 0.667 0.333 0.319  0.00
Br 0.333 0.667 0.677  -0.03
P 0.000 0.000 0.002  -0.05
Tb 0.333 0.667 0.146  0.00
U 0.667 0.333 0.855  2.51

Computed properties:
The space group is P3m1 (156).


9.
Zr2PBr | PBE | optimized geometry

Cell lengths 9.430, 3.274, 3.274 Å; angles 60.01, 90.00, 90.00 degrees
Site moments in Bohr magnetons follow the coordinates.
Atoms (fractional coordinates):
Br 0.000 0.667 0.667  0.00
P 0.500 0.000 0.000  0.00
Zr 0.236 0.000 0.000  0.07
Zr 0.764 0.000 0.000  0.07

Computed properties:
The space group is P-6m2 (187).


10.
PaBr2 | PBE | optimized geometry

Cell lengths 7.598, 7.598, 3.493 Å; angles 90.00, 90.00, 90.00 degrees
Site moments in Bohr magnetons follow the coordinates.
Atoms (fractional coordinates):
Br 0.276 0.276 0.000  -0.01
Br 0.724 0.724 0.000  -0.01
Br 0.776 0.224 0.500  -0.01
Br 0.224 0.776 0.500  -0.01
Pa 0.000 0.000 0.000  1.86
Pa 0.500 0.500 0.500  1.85

Computed properties:
The space group is P4_2/mnm (136).


11.
PaBr | PBE | optimized geometry

Cell lengths 4.560, 4.560, 4.560 Å; angles 60.00, 60.00, 60.00 degrees
Site moments in Bohr magnetons follow the coordinates.
Atoms (fractional coordinates):
Br 0.000 0.000 0.000  0.03
Pa 0.250 0.250 0.250  1.49

Computed properties:
The space group is F-43m (216).


12.
PaBr4 | PBE | optimized geometry

Cell lengths 7.199, 7.199, 7.481 Å; angles 93.29, 93.29, 76.78 degrees
Site moments in Bohr magnetons follow the coordinates.
Atoms (fractional coordinates):
Br 0.326 0.326 0.154  -0.02
Br 0.949 0.949 0.258  -0.02
Br 0.829 0.447 0.341  -0.02
Br 0.447 0.829 0.341  -0.02
Br 0.553 0.171 0.659  -0.02
Br 0.171 0.553 0.659  -0.02
Br 0.051 0.051 0.742  -0.02
Br 0.674 0.674 0.846  -0.02
Pa 0.196 0.196 0.441  1.04
Pa 0.804 0.804 0.559  1.04

Computed properties:
The space group is C2/m (12).


13.
PaBr | PBE | optimized geometry

Cell lengths 3.395, 3.399, 4.710 Å; angles 90.00, 90.00, 120.00 degrees
Atoms (fractional coordinates):
Br 0.667 0.333 0.750
Pa 0.333 0.667 0.250

Computed properties:
The space group is P-6m2 (187).


14.
PaBr | PBE | optimized geometry

Cell lengths 4.086, 4.086, 4.086 Å; angles 60.00, 60.00, 60.00 degrees
Site moments in Bohr magnetons follow the coordinates.
Atoms (fractional coordinates):
Br 0.000 0.000 0.000  0.00
Pa 0.500 0.500 0.500  1.03

Computed properties:
The space group is Fm-3m (225).


15.
PuPaBr6 | PBE | optimized geometry

Cell lengths 7.422, 7.422, 7.185 Å; angles 98.09, 98.09, 121.98 degrees
Site moments in Bohr magnetons follow the coordinates.
Atoms (fractional coordinates):
Br 0.254 0.254 0.243  -0.03
Br 0.892 0.590 0.243  -0.03
Br 0.590 0.892 0.243  -0.03
Br 0.410 0.108 0.757  -0.03
Br 0.108 0.410 0.757  -0.03
Br 0.746 0.746 0.757  -0.03
Pa 0.500 0.500 0.000  1.28
Pu 0.000 0.000 0.500  5.64

Computed properties:
The space group is C2/m (12).


16.
RbPaBr6 | PBE | optimized geometry

Cell lengths 8.310, 8.310, 8.310 Å; angles 55.11, 55.11, 55.11 degrees
Atoms (fractional coordinates):
Br 0.593 0.091 0.091
Br 0.091 0.593 0.091
Br 0.909 0.909 0.407
Br 0.091 0.091 0.593
Br 0.909 0.407 0.909
Br 0.407 0.909 0.909
Pa 0.000 0.000 0.000
Rb 0.500 0.500 0.500

Computed properties:
The space group is R-3m (166).


17.
PaRe2Br2 | PBE | optimized geometry

Cell lengths 4.457, 4.457, 12.379 Å; angles 90.00, 90.00, 120.00 degrees
Site moments in Bohr magnetons follow the coordinates.
Atoms (fractional coordinates):
Br 0.667 0.333 0.075  0.01
Br 0.667 0.333 0.425  0.01
Br 0.333 0.667 0.575  0.01
Br 0.333 0.667 0.925  0.01
Pa 0.000 0.000 0.250  0.00
Pa 0.000 0.000 0.750  0.00
Re 0.000 0.000 0.000  0.12
Re 0.333 0.667 0.250  0.37
Re 0.000 0.000 0.500  0.13
Re 0.667 0.333 0.750  0.37

Computed properties:
The space group is P6_3/mmc (194).


18.
Pa2S4Br | PBE | optimized geometry

Cell lengths 8.489, 8.489, 6.938 Å; angles 114.12, 114.12, 103.51 degrees
Site moments in Bohr magnetons follow the coordinates.
Atoms (fractional coordinates):
Br 0.251 0.999 0.256  -0.01
Br 0.999 0.251 0.756  -0.01
Pa 0.125 0.625 0.213  0.67
Pa 0.679 0.571 0.375  0.33
Pa 0.625 0.125 0.713  0.68
Pa 0.571 0.679 0.875  0.33
S 0.874 0.376 0.235  -0.03
S 0.482 0.768 0.236  -0.02
S 0.902 0.800 0.319  -0.02
S 0.348 0.450 0.367  -0.02
S 0.376 0.874 0.735  -0.03
S 0.768 0.482 0.736  -0.02
S 0.800 0.902 0.819  -0.02
S 0.450 0.348 0.867  -0.02

Computed properties:
The space group is Ima2 (46).


19.
PaSe2Br2 | PBE | optimized geometry

Cell lengths 7.214, 7.464, 7.964 Å; angles 67.54, 67.87, 61.12 degrees
Site moments in Bohr magnetons follow the coordinates.
Atoms (fractional coordinates):
Br 0.823 0.521 0.236  -0.01
Br 0.411 0.348 0.237  -0.01
Br 0.589 0.652 0.763  -0.01
Br 0.177 0.479 0.764  -0.01
Pa 0.141 0.716 0.000  0.95
Pa 0.859 0.284 0.000  0.95
Se 0.254 0.967 0.119  -0.01
Se 0.931 0.913 0.314  -0.01
Se 0.069 0.087 0.686  -0.01
Se 0.746 0.033 0.881  -0.01

Computed properties:
The space group is P-1 (2).


20.
SrPaBr6 | PBE | optimized geometry

Cell lengths 7.494, 7.494, 7.310 Å; angles 97.78, 97.78, 121.08 degrees
Site moments in Bohr magnetons follow the coordinates.
Atoms (fractional coordinates):
Br 0.425 0.127 0.262  -0.01
Br 0.127 0.425 0.262  -0.01
Br 0.748 0.748 0.273  -0.01
Br 0.252 0.252 0.727  -0.01
Br 0.873 0.575 0.738  -0.01
Br 0.575 0.873 0.738  -0.01
Pa 0.500 0.500 0.500  1.06
Sr 0.000 0.000 0.000  0.00

Computed properties:
The space group is C2/m (12).


In order of appearance, E = -27.09; -26.99; -26.71; -28.23; -31.45; -29.80; -26.65; -31.69; -24.53; -30.81; -10.30; -46.72; -12.17; -11.54; -45.40; -32.72; -64.76; -95.81; -51.48; -34.79 eV per cell.